! PuHfSc2N4, optimized geometry, DFT GGA-PBE; values from VASP
&SYSTEM
  ibrav = 0, nat = 8, ntyp = 4
/
ATOMIC_SPECIES
Pu 244.00 Pu.upf
Hf 178.49 Hf.upf
Sc 44.96 Sc.upf
N 14.01 N.upf
CELL_PARAMETERS angstrom
5.639 0.000 0.000
0.000 3.276 0.000
-1.897 0.000 5.368
ATOMIC_POSITIONS crystal
Pu 0.000 0.000 0.000
Hf 0.000 0.500 0.500
Sc 0.500 0.000 0.500
Sc 0.500 0.500 0.000
N 0.248 0.000 0.739
N 0.254 0.500 0.263
N 0.746 0.500 0.737
N 0.752 0.000 0.261
! **Raw formation energy**: -1.708 eV/atom
! **V**: 99 Å³ per cell